(1)
# AcCe4Pu | the Alexandria database | PBE-GGA | optimized geometry
# Calculated density, g cm⁻³: 9.76
# Calculated total energy, eV for the cell shown: -40.5
# Symmetry: F-43m, No. 216
data_AcCe4Pu
_chemical_formula_sum 'Ac1 Ce4 Pu1'
_cell_length_a 6.284
_cell_length_b 6.284
_cell_length_c 6.284
_cell_angle_alpha 60.00
_cell_angle_beta 60.00
_cell_angle_gamma 60.00
_space_group_name_H-M_alt 'P 1'
_space_group_IT_number 1
loop_
_space_group_symop_operation_xyz
'x,y,z'
loop_
_atom_site_label
_atom_site_fract_x
_atom_site_fract_y
_atom_site_fract_z
_atom_site_occupancy
Ac1 0.000 0.000 0.000 1
Ce1 0.375 0.375 0.375 1
Ce2 0.375 0.375 0.874 1
Ce3 0.375 0.874 0.375 1
Ce4 0.874 0.375 0.375 1
Pu1 0.750 0.750 0.750 1

=====

(2)
# K2Li2Tl | the Alexandria database | PBE-GGA | optimized geometry
# Calculated density, g cm⁻³: 2.61
# Calculated total energy, eV for the cell shown: -7.9
# Symmetry: I4/mmm, No. 139
data_K2Li2Tl
_chemical_formula_sum 'K2 Li2 Tl1'
_cell_length_a 11.779
_cell_length_b 11.779
_cell_length_c 11.779
_cell_angle_alpha 160.14
_cell_angle_beta 160.14
_cell_angle_gamma 28.23
_space_group_name_H-M_alt 'P 1'
_space_group_IT_number 1
loop_
_space_group_symop_operation_xyz
'x,y,z'
loop_
_atom_site_label
_atom_site_fract_x
_atom_site_fract_y
_atom_site_fract_z
_atom_site_occupancy
K1 0.106 0.106 0.000 1
K2 0.894 0.894 0.000 1
Li1 0.250 0.750 0.500 1
Li2 0.750 0.250 0.500 1
Tl1 0.500 0.500 0.000 1

=====

(3)
# NdGaSn | the Alexandria database | PBE-GGA | optimized geometry
# Calculated density, g cm⁻³: 7.10
# Calculated total energy, eV for the cell shown: -13.7
# Symmetry: P3m1, No. 156
data_NdGaSn
_chemical_formula_sum 'Nd1 Ga1 Sn1'
_cell_length_a 4.470
_cell_length_b 4.470
_cell_length_c 4.498
_cell_angle_alpha 90.00
_cell_angle_beta 90.00
_cell_angle_gamma 120.00
_space_group_name_H-M_alt 'P 1'
_space_group_IT_number 1
loop_
_space_group_symop_operation_xyz
'x,y,z'
loop_
_atom_site_label
_atom_site_fract_x
_atom_site_fract_y
_atom_site_fract_z
_atom_site_occupancy
Nd1 0.000 0.000 0.000 1
Ga1 0.333 0.667 0.646 1
Sn1 0.667 0.333 0.443 1

=====

(4)
# Hf3AgPd | the Alexandria database | PBE-GGA | optimized geometry
# Calculated density, g cm⁻³: 9.94
# Calculated total energy, eV for the cell shown: -35.0
# Symmetry: Pm-3m, No. 221
data_Hf3AgPd
_chemical_formula_sum 'Hf3 Ag1 Pd1'
_cell_length_a 5.004
_cell_length_b 5.004
_cell_length_c 5.004
_cell_angle_alpha 90.00
_cell_angle_beta 90.00
_cell_angle_gamma 90.00
_space_group_name_H-M_alt 'P 1'
_space_group_IT_number 1
loop_
_space_group_symop_operation_xyz
'x,y,z'
loop_
_atom_site_label
_atom_site_fract_x
_atom_site_fract_y
_atom_site_fract_z
_atom_site_occupancy
Hf1 0.000 0.000 0.500 1
Hf2 0.000 0.500 0.000 1
Hf3 0.500 0.000 0.000 1
Ag1 0.500 0.500 0.500 1
Pd1 0.000 0.000 0.000 1

=====

(5)
# AlCd2Cu | the Alexandria database | PBE-GGA | optimized geometry
# Calculated density, g cm⁻³: 7.06
# Calculated total energy, eV for the cell shown: -9.1
# Symmetry: Cmmm, No. 65
data_AlCd2Cu
_chemical_formula_sum 'Al1 Cd2 Cu1'
_cell_length_a 4.845
_cell_length_b 4.845
_cell_length_c 3.356
_cell_angle_alpha 90.00
_cell_angle_beta 90.00
_cell_angle_gamma 109.69
_space_group_name_H-M_alt 'P 1'
_space_group_IT_number 1
loop_
_space_group_symop_operation_xyz
'x,y,z'
loop_
_atom_site_label
_atom_site_fract_x
_atom_site_fract_y
_atom_site_fract_z
_atom_site_occupancy
Al1 0.000 0.000 0.000 1
Cd1 0.000 0.500 0.500 1
Cd2 0.500 0.000 0.500 1
Cu1 0.500 0.500 0.000 1

=====

(6)
# Mg6Zn2Pt | the Alexandria database | PBE-GGA | optimized geometry
# Calculated density, g cm⁻³: 3.95
# Calculated total energy, eV for the cell shown: -19.8
# Symmetry: C2/m, No. 12
data_Mg6Zn2Pt
_chemical_formula_sum 'Mg6 Zn2 Pt1'
_cell_length_a 7.896
_cell_length_b 7.896
_cell_length_c 4.455
_cell_angle_alpha 106.04
_cell_angle_beta 106.04
_cell_angle_gamma 48.52
_space_group_name_H-M_alt 'P 1'
_space_group_IT_number 1
loop_
_space_group_symop_operation_xyz
'x,y,z'
loop_
_atom_site_label
_atom_site_fract_x
_atom_site_fract_y
_atom_site_fract_z
_atom_site_occupancy
Mg1 0.079 0.599 0.340 1
Mg2 0.237 0.763 0.000 1
Mg3 0.401 0.921 0.660 1
Mg4 0.599 0.079 0.340 1
Mg5 0.763 0.237 0.000 1
Mg6 0.921 0.401 0.660 1
Zn1 0.333 0.333 0.834 1
Zn2 0.667 0.667 0.166 1
Pt1 0.000 0.000 0.500 1

=====

(7)
# Li2LaMn | the Alexandria database | PBE-GGA | optimized geometry
# Calculated density, g cm⁻³: 4.09
# Calculated total energy, eV for the cell shown: -16.5
# Symmetry: Pmmm, No. 47
data_Li2LaMn
_chemical_formula_sum 'Li2 La1 Mn1'
_cell_length_a 3.028
_cell_length_b 4.761
_cell_length_c 5.849
_cell_angle_alpha 90.00
_cell_angle_beta 90.00
_cell_angle_gamma 90.00
_space_group_name_H-M_alt 'P 1'
_space_group_IT_number 1
loop_
_space_group_symop_operation_xyz
'x,y,z'
loop_
_atom_site_label
_atom_site_fract_x
_atom_site_fract_y
_atom_site_fract_z
_atom_site_occupancy
Li1 0.000 0.000 0.207 1
Li2 0.000 0.000 0.793 1
La1 0.500 0.500 0.500 1
Mn1 0.500 0.500 0.000 1

=====

(8)
# LaHO2F | the Alexandria database | PBE-GGA | optimized geometry
# Calculated density, g cm⁻³: 6.29
# Calculated total energy, eV for the cell shown: -29.1
# Symmetry: P4/mmm, No. 123
data_LaHO2F
_chemical_formula_sum 'La1 H1 O2 F1'
_cell_length_a 3.606
_cell_length_b 3.606
_cell_length_c 3.878
_cell_angle_alpha 90.00
_cell_angle_beta 90.00
_cell_angle_gamma 90.00
_space_group_name_H-M_alt 'P 1'
_space_group_IT_number 1
loop_
_space_group_symop_operation_xyz
'x,y,z'
loop_
_atom_site_label
_atom_site_fract_x
_atom_site_fract_y
_atom_site_fract_z
_atom_site_occupancy
La1 0.000 0.000 0.000 1
H1 0.500 0.500 0.500 1
O1 0.000 0.500 0.500 1
O2 0.500 0.000 0.500 1
F1 0.500 0.500 0.000 1